1.
# Tl2ZnO | Alexandria via LeMat-Bulk | PBE | relaxed
# Energy, eV/f.u.: -11.71
# Offset from the most stable computed form, kcal/mol of atoms: 0.000
# Size of the total moment, μB per cell: 0.0
data_Tl2ZnO
_cell_length_a 7.1594
_cell_length_b 7.1594
_cell_length_c 7.1488
_cell_angle_alpha 90.00
_cell_angle_beta 90.00
_cell_angle_gamma 90.00
_symmetry_space_group_name_H-M 'I -4 2 d'
_symmetry_Int_Tables_number 122
_symmetry_space_group_name_Hall 'I -4 2bw'
loop_
_atom_site_label
_atom_site_type_symbol
_atom_site_fract_x
_atom_site_fract_y
_atom_site_fract_z
Tl1 Tl 0.1915 0.2500 0.1250
Zn1 Zn 0.0000 0.0000 0.5000
O1 O 0.0000 0.0000 0.0000


2.
# TlZn3O3 | Alexandria via LeMat-Bulk | PBE | relaxed
# Energy, eV/f.u.: -27.89
# Size of the total moment, μB per cell: 0.0
data_TlZn3O3
_cell_length_a 5.8631
_cell_length_b 5.8631
_cell_length_c 5.8631
_cell_angle_alpha 90.00
_cell_angle_beta 90.00
_cell_angle_gamma 90.00
_symmetry_space_group_name_H-M 'P m -3 n'
_symmetry_Int_Tables_number 223
_symmetry_space_group_name_Hall '-P 4n 2 3'
loop_
_atom_site_label
_atom_site_type_symbol
_atom_site_fract_x
_atom_site_fract_y
_atom_site_fract_z
Tl1 Tl 0.0000 0.0000 0.0000
Zn1 Zn 0.0000 0.2500 0.5000
O1 O 0.0000 0.5000 0.2500


3.
# Zr6Tl3O | Alexandria via LeMat-Bulk | PBE | relaxed
# Energy, eV/f.u.: -68.56
# Size of the total moment, μB per cell: 0.0
data_Zr6Tl3O
_cell_length_a 10.2960
_cell_length_b 15.9355
_cell_length_c 5.3117
_cell_angle_alpha 90.00
_cell_angle_beta 90.00
_cell_angle_gamma 90.00
_symmetry_space_group_name_H-M 'C m c 21'
_symmetry_Int_Tables_number 36
loop_
_symmetry_equiv_pos_as_xyz
'x,y,z'
'-x,-y,z+1/2'
'-x,y,z'
'x,-y,z+1/2'
'x+1/2,y+1/2,z'
'-x+1/2,-y+1/2,z+1/2'
'-x+1/2,y+1/2,z'
'x+1/2,-y+1/2,z+1/2'
loop_
_atom_site_label
_atom_site_type_symbol
_atom_site_fract_x
_atom_site_fract_y
_atom_site_fract_z
Zr1 Zr 0.0000 0.0681 0.0000
Zr2 Zr 0.0000 0.2659 0.4775
Zr3 Zr 0.1639 0.4255 0.5151
Zr4 Zr 0.1693 0.2403 0.9647
Tl1 Tl 0.0000 0.4042 0.0116
Tl2 Tl 0.1723 0.0954 0.5224
O1 O 0.0000 0.1933 0.1404


What did the third record say?
# Zr6Tl3O | Alexandria via LeMat-Bulk | PBE | relaxed
# Energy, eV/f.u.: -68.56
# Size of the total moment, μB per cell: 0.0
data_Zr6Tl3O
_cell_length_a 10.2960
_cell_length_b 15.9355
_cell_length_c 5.3117
_cell_angle_alpha 90.00
_cell_angle_beta 90.00
_cell_angle_gamma 90.00
_symmetry_space_group_name_H-M 'C m c 21'
_symmetry_Int_Tables_number 36
loop_
_symmetry_equiv_pos_as_xyz
'x,y,z'
'-x,-y,z+1/2'
'-x,y,z'
'x,-y,z+1/2'
'x+1/2,y+1/2,z'
'-x+1/2,-y+1/2,z+1/2'
'-x+1/2,y+1/2,z'
'x+1/2,-y+1/2,z+1/2'
loop_
_atom_site_label
_atom_site_type_symbol
_atom_site_fract_x
_atom_site_fract_y
_atom_site_fract_z
Zr1 Zr 0.0000 0.0681 0.0000
Zr2 Zr 0.0000 0.2659 0.4775
Zr3 Zr 0.1639 0.4255 0.5151
Zr4 Zr 0.1693 0.2403 0.9647
Tl1 Tl 0.0000 0.4042 0.0116
Tl2 Tl 0.1723 0.0954 0.5224
O1 O 0.0000 0.1933 0.1404


Which of these has the highest energy?
Tl2ZnO